(1)
{
  "formula": "AlInRu",
  "functional": "GGA-PBE",
  "state": "relaxed",
  "dft_energy_ev_per_atom": -5.299,
  "total_magnetization_mub_per_cell": 0.000,
  "lattice": [[0.0000, 3.0712, 3.0712], [3.0712, 0.0000, 3.0712], [3.0712, 3.0712, 0.0000]],
  "species": ["Al", "In", "Ru"],
  "frac_coords": [[0.0000, 0.0000, 0.0000], [0.5000, 0.5000, 0.5000], [0.2500, 0.2500, 0.2500]]
}

(2)
{
  "formula": "AlInRu2",
  "functional": "GGA-PBE",
  "state": "relaxed",
  "dft_energy_ev_per_atom": -6.373,
  "total_magnetization_mub_per_cell": 0.000,
  "lattice": [[2.9198, 0.0000, 0.0000], [0.0000, 3.8777, 0.0000], [-1.1038, 0.0000, 5.5664]],
  "species": ["Al", "In", "Ru", "Ru"],
  "frac_coords": [[0.0000, 0.0000, 0.0000], [0.0000, 0.0000, 0.5000], [0.3751, 0.5000, 0.2211], [0.6249, 0.5000, 0.7789]]
}

(3)
{
  "formula": "AlInRu",
  "functional": "GGA-PBE",
  "state": "relaxed",
  "dft_energy_ev_per_atom": -5.380,
  "total_magnetization_mub_per_cell": 0.000,
  "lattice": [[2.1821, 1.2599, 6.7838], [-2.1821, 1.2599, 6.7838], [0.0000, -2.5197, 6.7838]],
  "species": ["Al", "Al", "In", "In", "Ru", "Ru"],
  "frac_coords": [[0.1085, 0.1085, 0.1085], [0.8915, 0.8915, 0.8915], [0.3734, 0.3734, 0.3734], [0.6266, 0.6266, 0.6266], [0.2284, 0.2284, 0.2284], [0.7716, 0.7716, 0.7716]]
}

(4)
{
  "formula": "AlInRu2",
  "functional": "GGA-PBE",
  "state": "relaxed",
  "dft_energy_ev_per_atom": -6.235,
  "total_magnetization_mub_per_cell": 0.000,
  "lattice": [[1.5571, -2.4382, 0.0000], [1.5571, 2.4382, 0.0000], [0.0000, 0.0000, 8.3633]],
  "species": ["Al", "In", "Ru", "Ru"],
  "frac_coords": [[0.0000, 0.0000, 0.0000], [0.0000, 0.0000, 0.5000], [0.5000, 0.5000, 0.2308], [0.5000, 0.5000, 0.7692]]
}

(5)
{
  "formula": "AlIn2Ru",
  "functional": "GGA-PBE",
  "state": "relaxed",
  "dft_energy_ev_per_atom": -4.304,
  "total_magnetization_mub_per_cell": 0.000,
  "lattice": [[0.0000, 3.3287, 3.3287], [3.3287, 0.0000, 3.3287], [3.3287, 3.3287, 0.0000]],
  "species": ["Al", "In", "In", "Ru"],
  "frac_coords": [[0.0000, 0.0000, 0.0000], [0.2500, 0.2500, 0.2500], [0.5000, 0.5000, 0.5000], [0.7500, 0.7500, 0.7500]]
}

(6)
{
  "formula": "AlIn2Ru",
  "functional": "GGA-PBE",
  "state": "relaxed",
  "dft_energy_ev_per_atom": -4.405,
  "total_magnetization_mub_per_cell": 0.360,
  "lattice": [[1.5881, 0.9169, 8.9600], [-1.5881, 0.9169, 8.9600], [0.0000, -1.8338, 8.9600]],
  "species": ["Al", "In", "In", "Ru"],
  "frac_coords": [[0.0000, 0.0000, 0.0000], [0.2429, 0.2429, 0.2429], [0.7571, 0.7571, 0.7571], [0.5000, 0.5000, 0.5000]]
}

(7)
{
  "formula": "AlInRu2",
  "functional": "GGA-PBE",
  "state": "relaxed",
  "dft_energy_ev_per_atom": -5.892,
  "total_magnetization_mub_per_cell": 3.614,
  "lattice": [[-3.4934, 3.4934, 2.8058], [3.4934, -3.4934, 2.8058], [3.4934, 3.4934, -2.8058]],
  "species": ["Al", "Al", "In", "In", "Ru", "Ru", "Ru", "Ru"],
  "frac_coords": [[0.0000, 0.0000, 0.0000], [0.7500, 0.2500, 0.5000], [0.2500, 0.7500, 0.5000], [0.5000, 0.5000, 0.0000], [0.0890, 0.6250, 0.9640], [0.3750, 0.3390, 0.4640], [0.6610, 0.1250, 0.0360], [0.8750, 0.9110, 0.5360]]
}

(8)
{
  "formula": "AlIn2Ru",
  "functional": "GGA-PBE",
  "state": "relaxed",
  "dft_energy_ev_per_atom": -4.659,
  "total_magnetization_mub_per_cell": 0.000,
  "lattice": [[3.4966, 0.0000, 0.0000], [0.0000, 4.2077, 0.0000], [-1.7274, 0.0000, 5.1928]],
  "species": ["Al", "In", "In", "Ru"],
  "frac_coords": [[0.0000, 0.0000, 0.0000], [0.2790, 0.0000, 0.5545], [0.5971, 0.5000, 0.1971], [0.8737, 0.5000, 0.7473]]
}